[1]
VASP calculation (PBE-GGA) on a relaxed structure of PmEr2TmSb4.

Cell lengths 7.5940, 4.3890, 7.5943 Å; angles 90.00, 109.49, 90.00 degrees
Positions (direct):
Pm 0.0000 0.0000 0.0000
Er 0.5000 0.0000 0.5000
Er 0.5000 0.5000 0.0000
Tm 0.0000 0.5000 0.5000
Sb 0.2523 0.0000 0.7461
Sb 0.2558 0.5000 0.2566
Sb 0.7442 0.5000 0.7434
Sb 0.7477 0.0000 0.2539

Calculated values
- Formation energy from raw total energies: -1.105 eV per atom
- DOS at the Fermi energy: 1.11 states/eV/cell


[2]
VASP calculation (PBE-GGA) on a relaxed structure of GaCuGe.

Cell lengths 5.9647, 2.7602, 6.0682 Å; angles 90.00, 90.11, 90.00 degrees
Positions (direct):
Ga 0.2116 0.0000 0.0003
Ga 0.7884 0.0000 0.9997
Cu 0.4991 0.5000 0.7681
Cu 0.5009 0.5000 0.2319
Ge 0.2270 0.0000 0.4995
Ge 0.7730 0.0000 0.5005

Calculated values
- Formation energy from the elements: 0.0447 eV per atom
- DOS at the Fermi energy: 2.28 states/eV/cell


[3]
VASP calculation (PBE-GGA) on a relaxed structure of Hf3GeS.

Cell lengths 4.7289, 4.7289, 4.7289 Å; angles 90.00, 90.00, 90.00 degrees
Positions (direct):
Hf 0.0000 0.0000 0.5000
Hf 0.0000 0.5000 0.0000
Hf 0.5000 0.0000 0.0000
Ge 0.5000 0.5000 0.5000
S 0.0000 0.0000 0.0000

Calculated values
- Formation energy from raw total energies: -0.173 eV per atom
- DOS at the Fermi energy: 4.75 states/eV/cell


[4]
VASP calculation (PBE-GGA) on a relaxed structure of RbPm4Au3O12.

Cell lengths 7.4137, 7.4137, 7.4137 Å; angles 109.47, 109.47, 109.47 degrees
Positions (direct):
Rb 0.0000 0.0000 0.0000
Pm 0.0000 0.0000 0.5000
Pm 0.0000 0.5000 0.0000
Pm 0.5000 0.0000 0.0000
Pm 0.5000 0.5000 0.5000
Au 0.0000 0.5000 0.5000
Au 0.5000 0.0000 0.5000
Au 0.5000 0.5000 0.0000
O 0.1600 0.3267 0.4867
O 0.1600 0.6733 0.8333
O 0.1667 0.8400 0.3267
O 0.3267 0.1667 0.8400
O 0.3267 0.4867 0.1600
O 0.4867 0.1600 0.3267
O 0.5133 0.8400 0.6733
O 0.6733 0.5133 0.8400
O 0.6733 0.8333 0.1600
O 0.8333 0.1600 0.6733
O 0.8400 0.3267 0.1667
O 0.8400 0.6733 0.5133

Calculated values
- Formation energy from raw total energies: -1.807 eV per atom
- DOS at the Fermi energy: 22.03 states/eV/cell


[5]
VASP calculation (PBE-GGA) on a relaxed structure of Nd6AgSn.

Cell lengths 6.2872, 6.2910, 6.2921 Å; angles 93.05, 92.89, 93.04 degrees
Positions (direct):
Nd 0.0195 0.0451 0.2512
Nd 0.2490 0.4809 0.9552
Nd 0.4557 0.7492 0.4787
Nd 0.5443 0.2508 0.5213
Nd 0.7510 0.5191 0.0448
Nd 0.9805 0.9549 0.7488
Ag 0.0000 0.5000 0.5000
Sn 0.5000 0.0000 0.0000

Calculated values
- Formation energy from the elements: -0.1784 eV per atom
- DOS at the Fermi energy: 9.37 states/eV/cell


[6]
VASP calculation (PBE-GGA) on a relaxed structure of Dy3SnPb.

Cell lengths 9.0918, 9.0918, 9.2773 Å; angles 90.01, 90.01, 27.34 degrees
Positions (direct):
Dy 0.0448 0.0448 0.3053
Dy 0.1759 0.1759 0.9380
Dy 0.2448 0.2448 0.3339
Dy 0.7552 0.7552 0.6661
Dy 0.8241 0.8241 0.0620
Dy 0.9552 0.9552 0.6947
Sn 0.3524 0.3524 0.8320
Sn 0.6476 0.6476 0.1680
Pb 0.1223 0.1223 0.6068
Pb 0.8777 0.8777 0.3932

Calculated values
- Formation energy from the elements: -0.2442 eV per atom
- DOS at the Fermi energy: 8.85 states/eV/cell


[7]
VASP calculation (PBE-GGA) on a relaxed structure of YSi3Pd3.

Cell lengths 8.9171, 8.9171, 4.0722 Å; angles 90.00, 90.00, 120.00 degrees
Positions (direct):
Y 0.3333 0.6667 0.2500
Y 0.6667 0.3333 0.7500
Si 0.0492 0.6164 0.7500
Si 0.3836 0.4328 0.7500
Si 0.4328 0.0492 0.2500
Si 0.5672 0.9508 0.7500
Si 0.6164 0.5672 0.2500
Si 0.9508 0.3836 0.2500
Pd 0.0907 0.3671 0.7500
Pd 0.2764 0.9093 0.7500
Pd 0.3671 0.2764 0.2500
Pd 0.6329 0.7236 0.7500
Pd 0.7236 0.0907 0.2500
Pd 0.9093 0.6329 0.2500

Calculated values
- Formation energy from raw total energies: -0.547 eV per atom
- DOS at the Fermi energy: 7.08 states/eV/cell


[8]
VASP calculation (PBE-GGA) on a relaxed structure of MgP.

Cell lengths 3.9931, 14.7636, 3.9185 Å; angles 90.00, 90.00, 90.00 degrees
Positions (direct):
Mg 0.2500 0.0853 0.0097
Mg 0.2500 0.4147 0.0097
Mg 0.2500 0.7500 0.5169
Mg 0.7500 0.2500 0.4831
Mg 0.7500 0.5853 0.9903
Mg 0.7500 0.9147 0.9903
P 0.2500 0.2500 0.9770
P 0.2500 0.5417 0.4615
P 0.2500 0.9583 0.4615
P 0.7500 0.0417 0.5385
P 0.7500 0.4583 0.5385
P 0.7500 0.7500 0.0230

Calculated values
- Formation energy from the elements: -0.3204 eV per atom
- DOS at the Fermi energy: 1.62 states/eV/cell


[9]
VASP calculation (PBE-GGA) on a relaxed structure of PmPaZnPd.

Cell lengths 5.0552, 5.0552, 5.0552 Å; angles 60.00, 60.00, 60.00 degrees
Positions (direct):
Pm 0.0000 0.0000 0.0000
Pa 0.5000 0.5000 0.5000
Zn 0.2500 0.2500 0.2500
Pd 0.7500 0.7500 0.7500

Calculated values
- Formation energy from the elements: -0.1940 eV per atom
- DOS at the Fermi energy: 6.77 states/eV/cell


[10]
VASP calculation (PBE-GGA) on a relaxed structure of Ba2BeCl.

Cell lengths 7.5674, 7.5674, 7.5674 Å; angles 114.03, 114.03, 100.69 degrees
Positions (direct):
Ba 0.1252 0.6250 0.0002
Ba 0.3750 0.3752 0.5002
Ba 0.6248 0.1250 0.9998
Ba 0.8750 0.8748 0.4998
Be 0.0000 0.0000 0.0000
Be 0.7500 0.2500 0.5000
Cl 0.2500 0.7500 0.5000
Cl 0.5000 0.5000 0.0000

Calculated values
- Formation energy from raw total energies: -0.420 eV per atom
- DOS at the Fermi energy: 8.55 states/eV/cell


[11]
VASP calculation (PBE-GGA) on a relaxed structure of HfCd3Ru.

Cell lengths 5.0287, 5.0287, 5.0287 Å; angles 90.00, 90.00, 90.00 degrees
Positions (direct):
Hf 0.0000 0.0000 0.0000
Cd 0.0000 0.5000 0.5000
Cd 0.5000 0.0000 0.5000
Cd 0.5000 0.5000 0.0000
Ru 0.5000 0.5000 0.5000

Calculated values
- Formation energy from the elements: 0.9948 eV per atom
- DOS at the Fermi energy: 9.13 states/eV/cell


[12]
VASP calculation (PBE-GGA) on a relaxed structure of TiO4.

Cell lengths 3.8877, 3.8877, 3.8877 Å; angles 90.00, 90.00, 90.00 degrees
Positions (direct):
Ti 0.0000 0.0000 0.0000
O 0.0000 0.0000 0.5000
O 0.0000 0.5000 0.0000
O 0.5000 0.0000 0.0000
O 0.5000 0.5000 0.5000

Calculated values
- Formation energy from raw total energies: -0.837 eV per atom
- DOS at the Fermi energy: 2.35 states/eV/cell


Short version: uncorrected energy = -43.68, -11.61, -39.47, -125.45, -36.89, -22.74, -42.14, -7.65, -21.49, -11.10, -17.00, -31.91 eV per formula unit, in the order given.